P.
Computed, not measured: an optimized crystal structure of Al4CuNi at the PBE-GGA level of DFT.

a b c (Å): 9.4280 3.9438 5.0671
angles (deg): 90.00 90.00 90.00
Last column: nearest neighbours and their distance in Å.
Fractional positions:
Al 0.0000 0.0000 0.0000  2 Cu 2.47
Al 0.1126 0.5000 0.3686  2 Al 2.51-2.59, 2 Cu 2.62, 2 Ni 2.68
Al 0.2500 0.5000 0.8618  2 Ni 2.32, 2 Cu 2.43
Al 0.3874 0.5000 0.3686  2 Al 2.51-2.59, 2 Cu 2.62, 2 Ni 2.68
Al 0.5000 0.0000 0.0000  2 Cu 2.47
Al 0.6126 0.5000 0.6314  2 Al 2.51-2.59, 2 Cu 2.62, 2 Ni 2.68
Al 0.7500 0.5000 0.1382  2 Ni 2.32, 2 Cu 2.43
Al 0.8874 0.5000 0.6314  2 Al 2.51-2.59, 2 Cu 2.62, 2 Ni 2.68
Cu 0.2500 0.0000 0.1424  2 Ni 2.42-2.65, 8 Al 2.43-2.62
Cu 0.7500 0.0000 0.8576  2 Ni 2.42-2.65, 8 Al 2.43-2.62
Ni 0.2500 0.0000 0.6191  2 Al 2.32, 1 Cu 2.42
Ni 0.7500 0.0000 0.3809  2 Al 2.32, 1 Cu 2.42

## Properties
mass density: 4.1 g cm⁻³
D(E_F): 3.02 states/eV/f.u.
space-group type: Pmma

---

Q.
Computed, not measured: an optimized crystal structure of Al4CuNi at the PBE-GGA level of DFT.

a b c (Å): 5.0696 5.0696 5.0696
angles (deg): 60.00 60.00 60.00
Last column: nearest neighbours and their distance in Å.
Fractional positions:
Al 0.1252 0.1252 0.1252  6 Al 2.53-2.54
Al 0.1252 0.1252 0.6244  6 Al 2.53-2.54
Al 0.1252 0.6244 0.1252  6 Al 2.53-2.54
Al 0.6244 0.1252 0.1252  6 Al 2.53-2.54
Cu 0.7500 0.7500 0.7500  12 Al 2.97, 4 Ni 3.10
Ni 0.5000 0.5000 0.5000  12 Al 2.97, 4 Cu 3.10

## Properties
mass density: 4.1 g cm⁻³
D(E_F): 3.18 states/eV/f.u.
space-group type: F-43m

---

Preferred: P; penalty for the next structure: 336 meV per atom.

---

P.
Computed, not measured: an optimized crystal structure of Al2CuNi8 at the PBE-GGA level of DFT.

a b c (Å): 3.5777 3.5777 10.2064
angles (deg): 90.00 90.00 90.00
Last column: nearest neighbours and their distance in Å.
Fractional positions:
Al 0.0000 0.0000 0.1714  12 Ni 2.50-2.53
Al 0.0000 0.0000 0.8286  12 Ni 2.50-2.53
Cu 0.0000 0.0000 0.5000  8 Ni 2.40
Ni 0.0000 0.5000 0.0000  4 Al 2.50, 8 Ni 2.52-2.53
Ni 0.0000 0.5000 0.3438  2 Cu 2.40, 6 Ni 2.49-2.53, 2 Al 2.51
Ni 0.0000 0.5000 0.6562  2 Cu 2.40, 6 Ni 2.49-2.53, 2 Al 2.51
Ni 0.5000 0.0000 0.0000  4 Al 2.50, 8 Ni 2.52-2.53
Ni 0.5000 0.0000 0.3438  2 Cu 2.40, 6 Ni 2.49-2.53, 2 Al 2.51
Ni 0.5000 0.0000 0.6562  2 Cu 2.40, 6 Ni 2.49-2.53, 2 Al 2.51
Ni 0.5000 0.5000 0.1743  8 Ni 2.49-2.52, 4 Al 2.53
Ni 0.5000 0.5000 0.8257  8 Ni 2.49-2.52, 4 Al 2.53

## Properties
mass density: 7.5 g cm⁻³
D(E_F): 12.69 states/eV/f.u.
space-group type: P4/mmm

---

Q.
Computed, not measured: an optimized crystal structure of Al2CuNi8 at the PBE-GGA level of DFT.

a b c (Å): 6.4874 6.4874 6.4874
angles (deg): 145.45 122.76 68.60
Last column: nearest neighbours and their distance in Å.
Fractional positions:
Al 0.2020 0.2020 0.0000  10 Ni 2.40-2.50
Al 0.7980 0.7980 0.0000  10 Ni 2.40-2.50
Cu 0.5000 0.5000 0.0000  12 Ni 2.39-2.68
Ni 0.0634 0.3521 0.7112  1 Cu 2.39, 3 Al 2.40-2.41, 6 Ni 2.50-2.63
Ni 0.2009 0.0000 0.2009  7 Ni 2.46-2.50, 2 Al 2.50, 2 Cu 2.68
Ni 0.3498 0.8498 0.5000  8 Ni 2.46-2.63, 2 Al 2.49, 2 Cu 2.51
Ni 0.3591 0.6479 0.7112  1 Cu 2.39, 3 Al 2.40-2.41, 6 Ni 2.50-2.63
Ni 0.6409 0.3521 0.2888  1 Cu 2.39, 3 Al 2.40-2.41, 6 Ni 2.50-2.63
Ni 0.6502 0.1502 0.5000  8 Ni 2.46-2.63, 2 Al 2.49, 2 Cu 2.51
Ni 0.7991 0.0000 0.7991  7 Ni 2.46-2.50, 2 Al 2.50, 2 Cu 2.68
Ni 0.9366 0.6479 0.2888  1 Cu 2.39, 3 Al 2.40-2.41, 6 Ni 2.50-2.63

## Properties
mass density: 7.6 g cm⁻³
D(E_F): 15.03 states/eV/f.u.
space-group type: Immm

---

Preferred: Q; penalty for the next structure: 11 meV per atom.

---

P.
Computed, not measured: an optimized crystal structure of AlCu8Ni2 at the PBE-GGA level of DFT.

a b c (Å): 3.6095 3.6095 10.5939
angles (deg): 90.00 90.00 90.00
Last column: nearest neighbours and their distance in Å.
Fractional positions:
Al 0.0000 0.0000 0.0000  8 Cu 2.51
Cu 0.0000 0.5000 0.1644  2 Al 2.51, 2 Ni 2.52, 6 Cu 2.54-2.55
Cu 0.0000 0.5000 0.5000  8 Cu 2.53-2.55, 4 Ni 2.55
Cu 0.0000 0.5000 0.8356  2 Al 2.51, 2 Ni 2.52, 6 Cu 2.54-2.55
Cu 0.5000 0.0000 0.1644  2 Al 2.51, 2 Ni 2.52, 6 Cu 2.54-2.55
Cu 0.5000 0.0000 0.5000  8 Cu 2.53-2.55, 4 Ni 2.55
Cu 0.5000 0.0000 0.8356  2 Al 2.51, 2 Ni 2.52, 6 Cu 2.54-2.55
Cu 0.5000 0.5000 0.3329  8 Cu 2.53-2.54, 4 Ni 2.55
Cu 0.5000 0.5000 0.6671  8 Cu 2.53-2.54, 4 Ni 2.55
Ni 0.0000 0.0000 0.3302  12 Cu 2.52-2.55
Ni 0.0000 0.0000 0.6698  12 Cu 2.52-2.55

## Properties
mass density: 7.9 g cm⁻³
D(E_F): 4.10 states/eV/f.u.
space-group type: P4/mmm

---

Q.
Computed, not measured: an optimized crystal structure of AlCu8Ni2 at the PBE-GGA level of DFT.

a b c (Å): 6.3463 6.3463 4.2746
angles (deg): 101.10 101.10 61.17
Last column: nearest neighbours and their distance in Å.
Fractional positions:
Al 0.0000 0.0000 0.0000  4 Ni 2.36-2.60, 6 Cu 2.41-2.45
Cu 0.2296 0.2296 0.0971  2 Ni 2.44-2.45, 1 Al 2.45, 4 Cu 2.46-2.52
Cu 0.2444 0.6175 0.2157  1 Ni 2.40, 7 Cu 2.41-2.63, 1 Al 2.41
Cu 0.3539 0.3539 0.6699  8 Cu 2.51-2.59, 1 Ni 2.51
Cu 0.3825 0.7556 0.7843  1 Ni 2.40, 7 Cu 2.41-2.63, 1 Al 2.41
Cu 0.6175 0.2444 0.2157  1 Ni 2.40, 7 Cu 2.41-2.63, 1 Al 2.41
Cu 0.6461 0.6461 0.3301  8 Cu 2.51-2.59, 1 Ni 2.51
Cu 0.7556 0.3825 0.7843  1 Ni 2.40, 7 Cu 2.41-2.63, 1 Al 2.41
Cu 0.7704 0.7704 0.9029  2 Ni 2.44-2.45, 1 Al 2.45, 4 Cu 2.46-2.52
Ni 0.1178 0.1178 0.5345  2 Al 2.36-2.60, 5 Cu 2.40-2.51, 1 Ni 2.52
Ni 0.8822 0.8822 0.4655  2 Al 2.36-2.60, 5 Cu 2.40-2.51, 1 Ni 2.52

## Properties
mass density: 7.4 g cm⁻³
D(E_F): 5.10 states/eV/f.u.
space-group type: C2/m

---

Preferred: P; penalty for the next structure: 157 meV per atom.

---

P.
Computed, not measured: an optimized crystal structure of Al5CuNi2 at the PBE-GGA level of DFT.

a b c (Å): 5.3407 10.0702 3.9898
angles (deg): 90.00 90.00 90.00
Last column: nearest neighbours and their distance in Å.
Fractional positions:
Al 0.0000 0.0000 0.0000  4 Ni 2.52, 2 Cu 2.67, 2 Al 2.74
Al 0.1093 0.2656 0.0000  1 Cu 2.43, 2 Ni 2.59, 2 Al 2.69
Al 0.1774 0.6154 0.5000  2 Cu 2.50, 3 Ni 2.54-2.63, 4 Al 2.75-2.79
Al 0.3226 0.1154 0.5000  2 Cu 2.50, 3 Ni 2.54-2.63, 4 Al 2.75-2.79
Al 0.3907 0.7656 0.0000  1 Cu 2.43, 2 Ni 2.59, 2 Al 2.69
Al 0.5000 0.5000 0.0000  4 Ni 2.52, 2 Cu 2.67, 2 Al 2.74
Al 0.6093 0.2344 0.0000  1 Cu 2.43, 2 Ni 2.59, 2 Al 2.69
Al 0.6774 0.8846 0.5000  2 Cu 2.50, 3 Ni 2.54-2.63, 4 Al 2.75-2.79
Al 0.8226 0.3846 0.5000  2 Cu 2.50, 3 Ni 2.54-2.63, 4 Al 2.75-2.79
Al 0.8907 0.7344 0.0000  1 Cu 2.43, 2 Ni 2.59, 2 Al 2.69
Cu 0.0000 0.5000 0.0000  8 Al 2.43-2.67
Cu 0.5000 0.0000 0.0000  8 Al 2.43-2.67
Ni 0.1524 0.8707 0.5000  10 Al 2.52-2.81
Ni 0.3476 0.3707 0.5000  10 Al 2.52-2.81
Ni 0.6524 0.6293 0.5000  10 Al 2.52-2.81
Ni 0.8476 0.1293 0.5000  10 Al 2.52-2.81

## Properties
mass density: 4.9 g cm⁻³
D(E_F): 2.08 states/eV/f.u.
space-group type: Pbam

---

Q.
Computed, not measured: an optimized crystal structure of Al5CuNi2 at the PBE-GGA level of DFT.

a b c (Å): 6.4930 6.4930 6.4930
angles (deg): 154.55 104.85 80.84
Last column: nearest neighbours and their distance in Å.
Fractional positions:
Al 0.0000 0.0000 0.0000  2 Ni 2.40
Al 0.1008 0.3643 0.7365  3 Ni 2.41-2.58, 3 Al 2.68
Al 0.3722 0.6357 0.7365  3 Ni 2.41-2.58, 3 Al 2.68
Al 0.6278 0.3643 0.2635  3 Ni 2.41-2.58, 3 Al 2.68
Al 0.8992 0.6357 0.2635  3 Ni 2.41-2.58, 3 Al 2.68
Cu 0.5000 0.0000 0.5000  2 Cu 2.86, 8 Al 2.86, 4 Ni 2.92
Ni 0.2424 0.2424 0.0000  7 Al 2.40-2.58
Ni 0.7576 0.7576 0.0000  7 Al 2.40-2.58

## Properties
mass density: 4.7 g cm⁻³
D(E_F): 2.17 states/eV/f.u.
space-group type: Immm

---

Preferred: P; penalty for the next structure: 83 meV per atom.

---

P.
Computed, not measured: an optimized crystal structure of AlCu3Ni3 at the PBE-GGA level of DFT.

a b c (Å): 6.7438 6.7438 4.1240
angles (deg): 90.00 90.00 120.00
Last column: nearest neighbours and their distance in Å.
Fractional positions:
Al 0.3333 0.6667 0.2500  9 Ni 2.54, 3 Cu 2.56
Al 0.6667 0.3333 0.7500  9 Ni 2.54, 3 Cu 2.56
Cu 0.0432 0.2375 0.2500  5 Ni 2.52-2.57, 6 Cu 2.54-2.56, 1 Al 2.56
Cu 0.1944 0.9568 0.2500  5 Ni 2.52-2.57, 6 Cu 2.54-2.56, 1 Al 2.56
Cu 0.2375 0.1944 0.7500  5 Ni 2.52-2.57, 6 Cu 2.54-2.56, 1 Al 2.56
Cu 0.7625 0.8056 0.2500  5 Ni 2.52-2.57, 6 Cu 2.54-2.56, 1 Al 2.56
Cu 0.8056 0.0432 0.7500  5 Ni 2.52-2.57, 6 Cu 2.54-2.56, 1 Al 2.56
Cu 0.9568 0.7625 0.7500  5 Ni 2.52-2.57, 6 Cu 2.54-2.56, 1 Al 2.56
Ni 0.0937 0.4750 0.7500  5 Cu 2.52-2.57, 4 Ni 2.53-2.57, 3 Al 2.54
Ni 0.3813 0.9063 0.7500  5 Cu 2.52-2.57, 4 Ni 2.53-2.57, 3 Al 2.54
Ni 0.4750 0.3813 0.2500  5 Cu 2.52-2.57, 4 Ni 2.53-2.57, 3 Al 2.54
Ni 0.5250 0.6187 0.7500  5 Cu 2.52-2.57, 4 Ni 2.53-2.57, 3 Al 2.54
Ni 0.6187 0.0937 0.2500  5 Cu 2.52-2.57, 4 Ni 2.53-2.57, 3 Al 2.54
Ni 0.9063 0.5250 0.2500  5 Cu 2.52-2.57, 4 Ni 2.53-2.57, 3 Al 2.54

## Properties
mass density: 8.1 g cm⁻³
D(E_F): 3.67 states/eV/f.u.
space-group type: P6_3/m

---

Q.
Computed, not measured: an optimized crystal structure of AlCu3Ni3 at the PBE-GGA level of DFT.

a b c (Å): 3.8364 4.9075 9.2839
angles (deg): 90.00 90.00 90.00
Last column: nearest neighbours and their distance in Å.
Fractional positions:
Al 0.2500 0.2500 0.2367  6 Ni 2.46-2.49, 4 Cu 2.73
Al 0.7500 0.7500 0.7633  6 Ni 2.46-2.49, 4 Cu 2.73
Cu 0.2500 0.5010 0.9264  4 Cu 2.36-2.46, 3 Ni 2.39-2.52
Cu 0.2500 0.7500 0.4492  7 Ni 2.40-2.51
Cu 0.2500 0.9990 0.9264  4 Cu 2.36-2.46, 3 Ni 2.39-2.52
Cu 0.7500 0.0010 0.0736  4 Cu 2.36-2.46, 3 Ni 2.39-2.52
Cu 0.7500 0.2500 0.5508  7 Ni 2.40-2.51
Cu 0.7500 0.4990 0.0736  4 Cu 2.36-2.46, 3 Ni 2.39-2.52
Ni 0.2500 0.0082 0.6691  4 Ni 2.37-2.62, 4 Cu 2.39-2.51, 2 Al 2.46
Ni 0.2500 0.4918 0.6691  4 Ni 2.37-2.62, 4 Cu 2.39-2.51, 2 Al 2.46
Ni 0.2500 0.7500 0.1884  5 Cu 2.42-2.52, 2 Al 2.49, 4 Ni 2.62
Ni 0.7500 0.2500 0.8116  5 Cu 2.42-2.52, 2 Al 2.49, 4 Ni 2.62
Ni 0.7500 0.5082 0.3309  4 Ni 2.37-2.62, 4 Cu 2.39-2.51, 2 Al 2.46
Ni 0.7500 0.9918 0.3309  4 Ni 2.37-2.62, 4 Cu 2.39-2.51, 2 Al 2.46

## Properties
mass density: 7.5 g cm⁻³
D(E_F): 5.52 states/eV/f.u.
space-group type: Pmmn

---

Preferred: P; penalty for the next structure: 204 meV per atom.